(1)
A relaxed ScAgW crystal, computed with GGA-PBE.

Properties
Relative energy among the computed polymorphs = 0.134 eV per atom
Magnetic moment = 0.00 μB/cell
ΔH_f (0 K) = 0.372 eV per atom
Space-group type = P3m1

a b c (Å): 2.942 2.942 7.315
angles (deg): 90.00 90.00 120.00
Positions (direct):
W 0.667 0.333 0.663
Ag 0.000 0.000 0.997
Sc 0.333 0.667 0.340

(2)
A relaxed Tm3ScAl crystal, computed with GGA-PBE.

Properties
Relative energy among the computed polymorphs = 0.000 eV per atom
Magnetic moment = 0.03 μB/cell
ΔH_f (0 K) = -0.144 eV per atom
Space-group type = P2_1/c

a b c (Å): 6.683 8.229 9.953
angles (deg): 72.40 90.00 90.00
Positions (direct):
Tm 0.999 0.224 0.694
Tm 0.749 0.405 0.899
Sc 0.250 0.017 0.996
Sc 0.750 0.983 0.004
Al 0.250 0.393 0.902
Tm 0.500 0.224 0.694
Tm 0.001 0.776 0.306
Tm 0.000 0.776 0.806
Tm 0.249 0.595 0.601
Al 0.750 0.607 0.098
Tm 0.500 0.776 0.306
Tm 0.751 0.405 0.399
Tm 0.499 0.776 0.806
Sc 0.750 0.983 0.504
Tm 0.000 0.224 0.194
Tm 0.501 0.224 0.194
Tm 0.251 0.595 0.101
Al 0.250 0.393 0.402
Al 0.750 0.607 0.598
Sc 0.250 0.017 0.496

Among the records above, which one has the highest ΔH_f (0 K)? ScAgW

The lowest magnetic moment belongs to which entry? ScAgW